(1)
DFT (meta-GGA SCAN) results for a PBEsol-optimized structure of Ta2AuBr. Values from VASP.

Summary:
Its theoretical density is 14.71 g/cm3. The uncorrected formation energy is 802 meV/atom. The magnetic moment is 0.000 μB/cell. The space group is I-4m2.

```
&SYSTEM
  ibrav = 0, nat = 4, ntyp = 3
/
ATOMIC_SPECIES
Ta 180.95 Ta.upf
Au 196.97 Au.upf
Br 79.90 Br.upf
ATOMIC_POSITIONS crystal
Ta 0.0000 0.0000 0.0000
Ta 0.7500 0.2500 0.5000
Au 0.5000 0.5000 0.0000
Br 0.2500 0.7500 0.5000
CELL_PARAMETERS angstrom
-1.9993 1.9993 4.5113
1.9993 -1.9993 4.5113
1.9993 1.9993 -4.5113
```

(2)
DFT (meta-GGA SCAN) results for a PBEsol-optimized structure of Ta2AuBr. Values from VASP.

Summary:
Its theoretical density is 14.54 g/cm3. The uncorrected formation energy is 817 meV/atom. The magnetic moment is 0.000 μB/cell. The space group is P4/mmm.

```
&SYSTEM
  ibrav = 0, nat = 4, ntyp = 3
/
ATOMIC_SPECIES
Ta 180.95 Ta.upf
Au 196.97 Au.upf
Br 79.90 Br.upf
ATOMIC_POSITIONS crystal
Ta 0.0000 0.5000 0.0000
Ta 0.5000 0.0000 0.0000
Au 0.0000 0.0000 0.5000
Br 0.5000 0.5000 0.5000
CELL_PARAMETERS angstrom
4.0415 0.0000 0.0000
0.0000 4.0415 0.0000
0.0000 0.0000 4.4667
```

(3)
DFT (meta-GGA SCAN) results for a PBEsol-optimized structure of TaAuBr2. Values from VASP.

Summary:
Its theoretical density is 11.24 g/cm3. The uncorrected formation energy is 789 meV/atom. The magnetic moment is 1.932 μB/cell. The space group is I-4m2.

```
&SYSTEM
  ibrav = 0, nat = 4, ntyp = 3
/
ATOMIC_SPECIES
Ta 180.95 Ta.upf
Au 196.97 Au.upf
Br 79.90 Br.upf
ATOMIC_POSITIONS crystal
Ta 0.0000 0.0000 0.0000
Au 0.7500 0.2500 0.5000
Br 0.2500 0.7500 0.5000
Br 0.5000 0.5000 0.0000
CELL_PARAMETERS angstrom
-2.2624 2.2624 3.8805
2.2624 -2.2624 3.8805
2.2624 2.2624 -3.8805
```

(4)
DFT (meta-GGA SCAN) results for a PBEsol-optimized structure of TaAuBr2. Values from VASP.

Summary:
Its theoretical density is 11.34 g/cm3. The uncorrected formation energy is 902 meV/atom. The magnetic moment is 2.091 μB/cell. The space group is P4/mmm.

```
&SYSTEM
  ibrav = 0, nat = 4, ntyp = 3
/
ATOMIC_SPECIES
Ta 180.95 Ta.upf
Au 196.97 Au.upf
Br 79.90 Br.upf
ATOMIC_POSITIONS crystal
Ta 0.0000 0.0000 0.0000
Au 0.5000 0.5000 0.0000
Br 0.0000 0.5000 0.5000
Br 0.5000 0.0000 0.5000
CELL_PARAMETERS angstrom
4.3964 0.0000 0.0000
0.0000 4.3964 0.0000
0.0000 0.0000 4.0748
```